# 1
Density functional theory data (PBE-GGA) for a relaxed structure of BaMg2Ir2.

The structure belongs to space group I4/mmm (No. 139); the cell edges are 4.492, 4.492 and 11.118 Å and the angles 90.00°, 90.00° and 90.00°. The inequivalent atoms are Ba at (0.000, 0.000, 0.000), Mg at (0.000, 0.500, 0.250) and Ir at (0.000, 0.000, 0.389).

The calculation puts the total energy at -0.1756 Ha/atom.

# 2
Density functional theory data (PBE-GGA) for a relaxed structure of BaMg2Ir.

The structure belongs to space group F-43m (No. 216); the cell edges are 7.296, 7.296 and 7.296 Å and the angles 90.00°, 90.00° and 90.00°. The inequivalent atoms are Ba at (0.000, 0.000, 0.000), Mg at (0.000, 0.000, 0.500), Mg at (0.250, 0.250, 0.750) and Ir at (0.250, 0.250, 0.250).

The calculation puts the total energy at -0.1204 Ha/atom.

# 3
Density functional theory data (PBE-GGA) for a relaxed structure of BaMgNbIr.

The structure belongs to space group F-43m (No. 216); the cell edges are 6.942, 6.942 and 6.942 Å and the angles 90.00°, 90.00° and 90.00°. The inequivalent atoms are Ba at (0.000, 0.000, 0.000), Mg at (0.250, 0.250, 0.750), Nb at (0.250, 0.250, 0.250) and Ir at (0.000, 0.000, 0.500).

The value obtained for the energy above the lowest structure with this stoichiometry is 0.000 eV/atom.

# 4
Density functional theory data (PBE-GGA) for a relaxed structure of BaMgNbIr.

The structure belongs to space group F-43m (No. 216); the cell edges are 7.165, 7.165 and 7.165 Å and the angles 90.00°, 90.00° and 90.00°. The inequivalent atoms are Ba at (0.000, 0.000, 0.000), Mg at (0.250, 0.250, 0.250), Nb at (0.000, 0.000, 0.500) and Ir at (0.250, 0.250, 0.750).

The value obtained for the energy above the lowest structure with this stoichiometry is 0.191 eV/atom.

# 5
Density functional theory data (PBE-GGA) for a relaxed structure of BaMgNbIr.

The structure belongs to space group F-43m (No. 216); the cell edges are 7.051, 7.051 and 7.051 Å and the angles 90.00°, 90.00° and 90.00°. The inequivalent atoms are Ba at (0.000, 0.000, 0.000), Mg at (0.000, 0.000, 0.500), Nb at (0.250, 0.250, 0.750) and Ir at (0.250, 0.250, 0.250).

The value obtained for the energy above the lowest structure with this stoichiometry is 0.338 eV/atom.

# 6
Density functional theory data (PBE-GGA) for a relaxed structure of BaMo2Ir.

The structure belongs to space group F-43m (No. 216); the cell edges are 6.776, 6.776 and 6.776 Å and the angles 90.00°, 90.00° and 90.00°. The inequivalent atoms are Ba at (0.000, 0.000, 0.000), Mo at (0.000, 0.000, 0.500), Mo at (0.250, 0.250, 0.750) and Ir at (0.250, 0.250, 0.250).

The calculation puts the total energy at -0.2592 Ha/atom.

# 7
Density functional theory data (PBE-GGA) for a relaxed structure of Ba2IrN.

The structure belongs to space group I-42d (No. 122); the cell edges are 11.359, 11.359 and 3.817 Å and the angles 90.00°, 90.00° and 90.00°. The inequivalent atoms are Ba at (0.048, 0.250, 0.125), Ir at (0.000, 0.000, 0.500) and N at (0.000, 0.000, 0.000).

The calculation puts the total energy at -0.2093 Ha/atom.

# 8
Density functional theory data (PBE-GGA) for a relaxed structure of BaIrNO.

The structure belongs to space group P4/nmm (No. 129, origin choice 2); the cell edges are 5.066, 5.066 and 5.394 Å and the angles 90.00°, 90.00° and 90.00°. The inequivalent atoms are Ba at (0.250, 0.750, 0.000), Ir at (0.250, 0.250, 0.489), N at (0.250, 0.250, 0.149) and O at (0.250, 0.750, 0.500).

The value obtained for the energy above the lowest structure with this stoichiometry is 1.131 eV/atom.

# 9
Density functional theory data (PBE-GGA) for a relaxed structure of BaIrNO.

The structure belongs to space group Cm (No. 8); the cell edges are 5.217, 5.920 and 9.342 Å and the angles 90.00°, 90.00° and 90.00°. The inequivalent atoms are Ba at (0.000, 0.000, 0.000), Ba at (0.000, 0.500, 0.328), Ir at (0.250, 0.250, 0.665), N at (0.001, 0.000, 0.580), N at (0.001, 0.500, 0.751) and O at (0.250, 0.250, 0.164).

The value obtained for the energy above the lowest structure with this stoichiometry is 0.411 eV/atom.

# 10
Density functional theory data (PBE-GGA) for a relaxed structure of BaIrNO.

The structure belongs to space group Pmc2_1 (No. 26); the cell edges are 4.233, 4.110 and 7.551 Å and the angles 90.00°, 90.00° and 90.00°. The inequivalent atoms are Ba at (0.000, 0.000, 0.000), Ir at (0.500, 0.499, 0.250), N at (0.500, 0.499, 0.000) and O at (0.000, 0.498, 0.747).

The value obtained for the energy above the lowest structure with this stoichiometry is 0.000 eV/atom.

# 11
Density functional theory data (PBE-GGA) for a relaxed structure of BaIrNO.

The structure belongs to space group Pmc2_1 (No. 26); the cell edges are 3.727, 6.333 and 5.887 Å and the angles 90.00°, 90.00° and 90.00°. The inequivalent atoms are Ba at (0.000, 0.178, 0.000), Ir at (0.500, 0.343, 0.493), N at (0.000, 0.355, 0.480) and O at (0.500, 0.088, 0.696).

The value obtained for the energy above the lowest structure with this stoichiometry is 0.047 eV/atom.

# 12
Density functional theory data (PBE-GGA) for a relaxed structure of BaIrNO.

The structure belongs to space group P4/nmm (No. 129, origin choice 2); the cell edges are 3.916, 3.916 and 9.492 Å and the angles 90.00°, 90.00° and 90.00°. The inequivalent atoms are Ba at (0.250, 0.250, 0.160), Ir at (0.250, 0.750, 0.500), N at (0.250, 0.250, 0.589) and O at (0.250, 0.750, 0.000).

The value obtained for the energy above the lowest structure with this stoichiometry is 0.436 eV/atom.

# 13
Density functional theory data (PBE-GGA) for a relaxed structure of BaIrNO.

The structure belongs to space group Pca2_1 (No. 29); the cell edges are 6.424, 7.985 and 5.241 Å and the angles 90.00°, 90.00° and 90.00°. The inequivalent atoms are Ba at (0.062, 0.175, 0.000), Ir at (0.147, 0.607, 0.010), N at (0.122, 0.498, 0.674) and O at (0.002, 0.155, 0.491).

The value obtained for the energy above the lowest structure with this stoichiometry is 0.099 eV/atom.